Crystalline NdTm3Ga at its relaxed geometry. Source: Alexandria, functional PBE.

Unit cell a=7.5308 b=7.5308 c=7.3138 alpha=101.99 beta=117.99 gamma=110.02
Last column: nearest neighbours and their distance in Å.
Sites, in units of the cell vectors:
Ga 0.6448 0.7318 0.3765  6 Tm 2.85-3.00, 1 Nd 3.04
Ga 0.3552 0.2682 0.6235  6 Tm 2.85-3.00, 1 Nd 3.04
Tm 0.8403 0.1081 0.3389  2 Ga 2.85-3.00
Tm 0.3059 0.5735 0.8793  2 Ga 2.89-2.93
Tm 0.6941 0.4265 0.1207  2 Ga 2.89-2.93
Tm 0.1597 0.8919 0.6611  2 Ga 2.85-3.00
Tm 0.2308 0.4986 0.3389  2 Ga 2.85-3.00
Tm 0.7692 0.5014 0.6611  2 Ga 2.85-3.00
Nd 0.2662 0.9479 0.2140  1 Ga 3.04
Nd 0.7338 0.0521 0.7860  1 Ga 3.04

Summary:
M_tot, μB per formula unit: 0.00
DFT total energy, eV/atom: -4.32
Mass density, g/cm³: 7.8
Calculated formation energy, kJ/mol of formula units: -36